#one
Pm2Nd3Tm2: relaxed, PBE.

Properties
Its symmetry is C2/m.

Unit cell a=9.0439 b=9.0439 c=8.6170 alpha=118.27 beta=118.27 gamma=22.57
Last column: nearest neighbours and their distance in Å.
Sites, in units of the cell vectors:
Pm 0.0648 0.0648 0.4121  3 Pm 3.31-3.54, 5 Nd 3.51-3.69, 2 Tm 3.63
Pm 0.9352 0.9352 0.5879  3 Pm 3.31-3.54, 5 Nd 3.51-3.69, 2 Tm 3.63
Nd 0.2870 0.2870 0.7050  5 Nd 3.39-3.59, 3 Pm 3.51-3.69, 3 Tm 3.59-3.62
Nd 0.5000 0.5000 0.0000  4 Nd 3.39-3.54, 2 Tm 3.55, 4 Pm 3.62
Nd 0.7130 0.7130 0.2950  5 Nd 3.39-3.59, 3 Pm 3.51-3.69, 3 Tm 3.59-3.62
Tm 0.3530 0.3530 0.1693  4 Tm 3.54-3.83, 4 Nd 3.55-3.62, 4 Pm 3.63-3.75
Tm 0.6470 0.6470 0.8307  4 Tm 3.54-3.83, 4 Nd 3.55-3.62, 4 Pm 3.63-3.75

#two
Pm2Nd3Tm2: relaxed, PBE.

Properties
Its symmetry is P-1.

Unit cell a=3.6251 b=6.2526 c=10.8437 alpha=95.66 beta=90.01 gamma=106.85
Last column: nearest neighbours and their distance in Å.
Sites, in units of the cell vectors:
Pm 0.2164 0.4314 0.3562  5 Nd 3.59-3.64, 3 Tm 3.60-3.62, 4 Pm 3.63
Pm 0.7836 0.5686 0.6438  5 Nd 3.59-3.64, 3 Tm 3.60-3.62, 4 Pm 3.63
Nd 0.3573 0.7160 0.9296  5 Nd 3.58-3.63, 5 Tm 3.60-3.62, 2 Pm 3.62
Nd 0.5000 0.0000 0.5000  6 Pm 3.59-3.64, 4 Tm 3.62, 2 Nd 3.63
Nd 0.6427 0.2840 0.0704  5 Nd 3.58-3.63, 5 Tm 3.60-3.62, 2 Pm 3.62
Tm 0.0719 0.1424 0.7861  3 Pm 3.60-3.62, 7 Nd 3.60-3.62, 2 Tm 3.63
Tm 0.9281 0.8576 0.2139  3 Pm 3.60-3.62, 7 Nd 3.60-3.62, 2 Tm 3.63

#two is preferred energetically. Next in line: 101 meV per atom higher.

#one
PmNd7Tm12: relaxed, PBE.

Properties
Its symmetry is Im-3m.

Unit cell a=9.7174 b=9.7174 c=9.7174 alpha=109.47 beta=109.47 gamma=109.47
Last column: nearest neighbours and their distance in Å.
Sites, in units of the cell vectors:
Pm 0.0000 0.0000 0.0000  12 Tm 3.96
Nd 0.0000 0.0000 0.5000  6 Tm 2.81
Nd 0.0000 0.5000 0.0000  6 Tm 2.81
Nd 0.0000 0.5000 0.5000  12 Tm 3.97-3.98
Nd 0.5000 0.0000 0.0000  6 Tm 2.81
Nd 0.5000 0.0000 0.5000  12 Tm 3.97-3.98
Nd 0.5000 0.5000 0.0000  12 Tm 3.97-3.98
Nd 0.5000 0.5000 0.5000  6 Tm 2.81
Tm 0.0000 0.2494 0.7506  2 Nd 2.81
Tm 0.0000 0.7506 0.2494  2 Nd 2.81
Tm 0.2494 0.0000 0.7506  2 Nd 2.81
Tm 0.2494 0.2494 0.4988  2 Nd 2.81
Tm 0.2494 0.4988 0.2494  2 Nd 2.81
Tm 0.2494 0.7506 0.0000  2 Nd 2.81
Tm 0.4988 0.2494 0.2494  2 Nd 2.81
Tm 0.5012 0.7506 0.7506  2 Nd 2.81
Tm 0.7506 0.0000 0.2494  2 Nd 2.81
Tm 0.7506 0.2494 0.0000  2 Nd 2.81
Tm 0.7506 0.5012 0.7506  2 Nd 2.81
Tm 0.7506 0.7506 0.5012  2 Nd 2.81

#two
PmNd7Tm12: relaxed, PBE.

Properties
Its symmetry is R-3.

Unit cell a=8.7530 b=8.7530 c=8.7530 alpha=85.95 beta=85.95 gamma=85.95
Last column: nearest neighbours and their distance in Å.
Sites, in units of the cell vectors:
Pm 0.0000 0.0000 0.0000  6 Tm 3.44
Nd 0.0723 0.1580 0.3980  6 Tm 3.41-3.81, 3 Nd 3.45-3.49
Nd 0.1580 0.3980 0.0723  6 Tm 3.41-3.81, 3 Nd 3.45-3.49
Nd 0.3980 0.0723 0.1580  6 Tm 3.41-3.81, 3 Nd 3.45-3.49
Nd 0.5000 0.5000 0.5000  6 Tm 3.31
Nd 0.6020 0.9277 0.8420  6 Tm 3.41-3.81, 3 Nd 3.45-3.49
Nd 0.8420 0.6020 0.9277  6 Tm 3.41-3.81, 3 Nd 3.45-3.49
Nd 0.9277 0.8420 0.6020  6 Tm 3.41-3.81, 3 Nd 3.45-3.49
Tm 0.1337 0.4968 0.6208  5 Tm 3.26-3.58, 2 Nd 3.31-3.41
Tm 0.1463 0.7399 0.2738  4 Tm 3.26-3.58, 1 Pm 3.44, 2 Nd 3.47-3.57
Tm 0.2601 0.7262 0.8537  4 Tm 3.26-3.58, 1 Pm 3.44, 2 Nd 3.47-3.57
Tm 0.2738 0.1463 0.7399  4 Tm 3.26-3.58, 1 Pm 3.44, 2 Nd 3.47-3.57
Tm 0.3792 0.8663 0.5032  5 Tm 3.26-3.58, 2 Nd 3.31-3.41
Tm 0.4968 0.6208 0.1337  5 Tm 3.26-3.58, 2 Nd 3.31-3.41
Tm 0.5032 0.3792 0.8663  5 Tm 3.26-3.58, 2 Nd 3.31-3.41
Tm 0.6208 0.1337 0.4968  5 Tm 3.26-3.58, 2 Nd 3.31-3.41
Tm 0.7262 0.8537 0.2601  4 Tm 3.26-3.58, 1 Pm 3.44, 2 Nd 3.47-3.57
Tm 0.7399 0.2738 0.1463  4 Tm 3.26-3.58, 1 Pm 3.44, 2 Nd 3.47-3.57
Tm 0.8537 0.2601 0.7262  4 Tm 3.26-3.58, 1 Pm 3.44, 2 Nd 3.47-3.57
Tm 0.8663 0.5032 0.3792  5 Tm 3.26-3.58, 2 Nd 3.31-3.41

#two is preferred energetically. Next in line: 421 meV per atom higher.

#one
Pm12NdTm6: relaxed, PBE.

Properties
Its symmetry is R-3m.

Unit cell a=8.7970 b=8.7970 c=8.7970 alpha=99.01 beta=99.01 gamma=99.01
Last column: nearest neighbours and their distance in Å.
Sites, in units of the cell vectors:
Pm 0.0000 0.2582 0.7418  6 Pm 3.37-3.57, 4 Tm 3.46-3.61
Pm 0.0000 0.7418 0.2582  6 Pm 3.37-3.57, 4 Tm 3.46-3.61
Pm 0.1460 0.1460 0.4185  6 Pm 3.37-3.65, 2 Tm 3.78
Pm 0.1460 0.4185 0.1460  6 Pm 3.37-3.65, 2 Tm 3.78
Pm 0.2582 0.0000 0.7418  6 Pm 3.37-3.57, 4 Tm 3.46-3.61
Pm 0.2582 0.7418 0.0000  6 Pm 3.37-3.57, 4 Tm 3.46-3.61
Pm 0.4185 0.1460 0.1460  6 Pm 3.37-3.65, 2 Tm 3.78
Pm 0.5815 0.8540 0.8540  6 Pm 3.37-3.65, 2 Tm 3.78
Pm 0.7418 0.0000 0.2582  6 Pm 3.37-3.57, 4 Tm 3.46-3.61
Pm 0.7418 0.2582 0.0000  6 Pm 3.37-3.57, 4 Tm 3.46-3.61
Pm 0.8540 0.5815 0.8540  6 Pm 3.37-3.65, 2 Tm 3.78
Pm 0.8540 0.8540 0.5815  6 Pm 3.37-3.65, 2 Tm 3.78
Nd 0.5000 0.5000 0.5000  6 Tm 3.43
Tm 0.1628 0.6004 0.6004  3 Tm 3.21-3.57, 1 Nd 3.43, 2 Pm 3.46
Tm 0.3996 0.3996 0.8372  3 Tm 3.21-3.57, 1 Nd 3.43, 2 Pm 3.46
Tm 0.3996 0.8372 0.3996  3 Tm 3.21-3.57, 1 Nd 3.43, 2 Pm 3.46
Tm 0.6004 0.1628 0.6004  3 Tm 3.21-3.57, 1 Nd 3.43, 2 Pm 3.46
Tm 0.6004 0.6004 0.1628  3 Tm 3.21-3.57, 1 Nd 3.43, 2 Pm 3.46
Tm 0.8372 0.3996 0.3996  3 Tm 3.21-3.57, 1 Nd 3.43, 2 Pm 3.46

#two
Pm12NdTm6: relaxed, PBE.

Properties
Its symmetry is R-3.

Unit cell a=8.6238 b=8.6238 c=8.6238 alpha=88.81 beta=88.81 gamma=88.81
Last column: nearest neighbours and their distance in Å.
Sites, in units of the cell vectors:
Pm 0.0165 0.3630 0.1970  4 Pm 3.45-3.62, 4 Tm 3.52-3.68, 1 Nd 3.60
Pm 0.1970 0.0165 0.3630  4 Pm 3.45-3.62, 4 Tm 3.52-3.68, 1 Nd 3.60
Pm 0.2192 0.5668 0.4632  3 Tm 3.33-3.48, 4 Pm 3.34-3.59
Pm 0.3630 0.1970 0.0165  4 Pm 3.45-3.62, 4 Tm 3.52-3.68, 1 Nd 3.60
Pm 0.4332 0.5368 0.7808  3 Tm 3.33-3.48, 4 Pm 3.34-3.59
Pm 0.4632 0.2192 0.5668  3 Tm 3.33-3.48, 4 Pm 3.34-3.59
Pm 0.5368 0.7808 0.4332  3 Tm 3.33-3.48, 4 Pm 3.34-3.59
Pm 0.5668 0.4632 0.2192  3 Tm 3.33-3.48, 4 Pm 3.34-3.59
Pm 0.6370 0.8030 0.9835  4 Pm 3.45-3.62, 4 Tm 3.52-3.68, 1 Nd 3.60
Pm 0.7808 0.4332 0.5368  3 Tm 3.33-3.48, 4 Pm 3.34-3.59
Pm 0.8030 0.9835 0.6370  4 Pm 3.45-3.62, 4 Tm 3.52-3.68, 1 Nd 3.60
Pm 0.9835 0.6370 0.8030  4 Pm 3.45-3.62, 4 Tm 3.52-3.68, 1 Nd 3.60
Nd 0.0000 0.0000 0.0000  6 Tm 3.48, 6 Pm 3.60
Tm 0.0998 0.2583 0.7000  7 Pm 3.33-3.68, 1 Nd 3.48, 2 Tm 3.52
Tm 0.2583 0.7000 0.0998  7 Pm 3.33-3.68, 1 Nd 3.48, 2 Tm 3.52
Tm 0.3000 0.9002 0.7417  7 Pm 3.33-3.68, 1 Nd 3.48, 2 Tm 3.52
Tm 0.7000 0.0998 0.2583  7 Pm 3.33-3.68, 1 Nd 3.48, 2 Tm 3.52
Tm 0.7417 0.3000 0.9002  7 Pm 3.33-3.68, 1 Nd 3.48, 2 Tm 3.52
Tm 0.9002 0.7417 0.3000  7 Pm 3.33-3.68, 1 Nd 3.48, 2 Tm 3.52

#two is preferred energetically. Next in line: 58 meV per atom higher.

#one
Pm12Nd6Tm: relaxed, PBE.

Properties
Its symmetry is R-3m.

Unit cell a=9.9635 b=9.9635 c=9.9635 alpha=112.20 beta=112.20 gamma=112.20
Last column: nearest neighbours and their distance in Å.
Sites, in units of the cell vectors:
Pm 0.0000 0.3792 0.6208  4 Pm 3.13-3.22, 2 Nd 3.47
Pm 0.0000 0.6208 0.3792  4 Pm 3.13-3.22, 2 Nd 3.47
Pm 0.2336 0.2336 0.5927  4 Pm 3.22-3.60, 2 Nd 3.53
Pm 0.2336 0.5927 0.2336  4 Pm 3.22-3.60, 2 Nd 3.53
Pm 0.3792 0.0000 0.6208  4 Pm 3.13-3.22, 2 Nd 3.47
Pm 0.3792 0.6208 0.0000  4 Pm 3.13-3.22, 2 Nd 3.47
Pm 0.4073 0.7664 0.7664  4 Pm 3.22-3.60, 2 Nd 3.53
Pm 0.5927 0.2336 0.2336  4 Pm 3.22-3.60, 2 Nd 3.53
Pm 0.6208 0.0000 0.3792  4 Pm 3.13-3.22, 2 Nd 3.47
Pm 0.6208 0.3792 0.0000  4 Pm 3.13-3.22, 2 Nd 3.47
Pm 0.7664 0.4073 0.7664  4 Pm 3.22-3.60, 2 Nd 3.53
Pm 0.7664 0.7664 0.4073  4 Pm 3.22-3.60, 2 Nd 3.53
Nd 0.0228 0.7688 0.7688  5 Pm 3.47-3.85, 2 Nd 3.48, 1 Tm 3.87
Nd 0.2312 0.2312 0.9772  5 Pm 3.47-3.85, 2 Nd 3.48, 1 Tm 3.87
Nd 0.2312 0.9772 0.2312  5 Pm 3.47-3.85, 2 Nd 3.48, 1 Tm 3.87
Nd 0.7688 0.0228 0.7688  5 Pm 3.47-3.85, 2 Nd 3.48, 1 Tm 3.87
Nd 0.7688 0.7688 0.0228  5 Pm 3.47-3.85, 2 Nd 3.48, 1 Tm 3.87
Nd 0.9772 0.2312 0.2312  5 Pm 3.47-3.85, 2 Nd 3.48, 1 Tm 3.87
Tm 0.5000 0.5000 0.5000  6 Pm 3.65, 6 Nd 3.87

#two
Pm12Nd6Tm: relaxed, PBE.

Properties
Its symmetry is R-3.

Unit cell a=8.7263 b=8.7263 c=8.7263 alpha=89.27 beta=89.27 gamma=89.27
Last column: nearest neighbours and their distance in Å.
Sites, in units of the cell vectors:
Pm 0.0174 0.1930 0.3590  4 Pm 3.50-3.68, 4 Nd 3.57-3.76, 1 Tm 3.58
Pm 0.1930 0.3590 0.0174  4 Pm 3.50-3.68, 4 Nd 3.57-3.76, 1 Tm 3.58
Pm 0.2209 0.4643 0.5639  6 Pm 3.35-3.75, 3 Nd 3.44-3.49
Pm 0.3590 0.0174 0.1930  4 Pm 3.50-3.68, 4 Nd 3.57-3.76, 1 Tm 3.58
Pm 0.4361 0.7791 0.5357  6 Pm 3.35-3.75, 3 Nd 3.44-3.49
Pm 0.4643 0.5639 0.2209  6 Pm 3.35-3.75, 3 Nd 3.44-3.49
Pm 0.5357 0.4361 0.7791  6 Pm 3.35-3.75, 3 Nd 3.44-3.49
Pm 0.5639 0.2209 0.4643  6 Pm 3.35-3.75, 3 Nd 3.44-3.49
Pm 0.6410 0.9826 0.8070  4 Pm 3.50-3.68, 4 Nd 3.57-3.76, 1 Tm 3.58
Pm 0.7791 0.5357 0.4361  6 Pm 3.35-3.75, 3 Nd 3.44-3.49
Pm 0.8070 0.6410 0.9826  4 Pm 3.50-3.68, 4 Nd 3.57-3.76, 1 Tm 3.58
Pm 0.9826 0.8070 0.6410  4 Pm 3.50-3.68, 4 Nd 3.57-3.76, 1 Tm 3.58
Nd 0.0945 0.6985 0.2622  7 Pm 3.44-3.76, 1 Tm 3.56, 2 Nd 3.59
Nd 0.2622 0.0945 0.6985  7 Pm 3.44-3.76, 1 Tm 3.56, 2 Nd 3.59
Nd 0.3015 0.7378 0.9055  7 Pm 3.44-3.76, 1 Tm 3.56, 2 Nd 3.59
Nd 0.6985 0.2622 0.0945  7 Pm 3.44-3.76, 1 Tm 3.56, 2 Nd 3.59
Nd 0.7378 0.9055 0.3015  7 Pm 3.44-3.76, 1 Tm 3.56, 2 Nd 3.59
Nd 0.9055 0.3015 0.7378  7 Pm 3.44-3.76, 1 Tm 3.56, 2 Nd 3.59
Tm 0.0000 0.0000 0.0000  6 Nd 3.56, 6 Pm 3.58

#two is preferred energetically. Next in line: 174 meV per atom higher.